Here is a relaxed structure of LuScAlCu from Alexandria via LeMat-Bulk. Energies are from PBE.

Computed properties:
V: 19.94 Å³ per atom
DFT total energy: -19.98 eV per cell
Energy relative to the elements: -321 meV/atom

```
data_LuScAlCu
_symmetry_space_group_name_H-M 'P 1'
_symmetry_Int_Tables_number 1
_cell_length_a 4.832
_cell_length_b 4.832
_cell_length_c 4.832
_cell_angle_alpha 60.00
_cell_angle_beta 60.00
_cell_angle_gamma 60.00
loop_
_symmetry_equiv_pos_as_xyz
'x,y,z'
loop_
_atom_site_label
_atom_site_type_symbol
_atom_site_fract_x
_atom_site_fract_y
_atom_site_fract_z
Lu1 Lu 0.750 0.750 0.750
Cu1 Cu 0.500 0.500 0.500
Al1 Al 0.000 0.000 0.000
Sc1 Sc 0.250 0.250 0.250
```

Here is a relaxed structure of YLuAlCu from Alexandria via LeMat-Bulk. Energies are from PBE.

Computed properties:
V: 22.00 Å³ per atom
DFT total energy: -20.05 eV per cell
Energy relative to the elements: -307 meV/atom

```
data_YLuAlCu
_symmetry_space_group_name_H-M 'P 1'
_symmetry_Int_Tables_number 1
_cell_length_a 4.993
_cell_length_b 4.993
_cell_length_c 4.993
_cell_angle_alpha 60.00
_cell_angle_beta 60.00
_cell_angle_gamma 60.00
loop_
_symmetry_equiv_pos_as_xyz
'x,y,z'
loop_
_atom_site_label
_atom_site_type_symbol
_atom_site_fract_x
_atom_site_fract_y
_atom_site_fract_z
Y1 Y 0.750 0.750 0.750
Cu1 Cu 0.000 0.000 0.000
Lu1 Lu 0.250 0.250 0.250
Al1 Al 0.500 0.500 0.500
```

The lowest V belongs to which entry?
LuScAlCu